Computed, not measured: a geometry-optimized Hf2AgBiO structure at the PBE level of DFT.

Unit cell a=5.2708 b=5.2708 c=4.0086 alpha=90.00 beta=90.00 gamma=90.00
Space group P4/mmm (No. 123)
One atom of each set of equivalent atoms:
Hf 0.0000 0.5000 0.0000 [2 per cell]
Ag 0.0000 0.0000 0.0000 [1 per cell]
Bi 0.5000 0.5000 0.5000 [1 per cell]
O 0.0000 0.0000 0.5000 [1 per cell]

Formation energy without anion corrections, eV per atom: 0.5367

=====

Computed, not measured: a geometry-optimized HfAgBi2P structure at the PBE level of DFT.

Unit cell a=5.4583 b=5.4583 c=4.8264 alpha=90.00 beta=90.00 gamma=90.00
Space group P4/mmm (No. 123)
One atom of each set of equivalent atoms:
Hf 0.0000 0.0000 0.0000 [1 per cell]
Ag 0.5000 0.5000 0.0000 [1 per cell]
Bi 0.0000 0.5000 0.5000 [2 per cell]
P 0.0000 0.0000 0.5000 [1 per cell]

DFT formation energy, eV per atom: 0.450

=====

Computed, not measured: a geometry-optimized HfAg2BiRu structure at the PBE level of DFT.

Unit cell a=5.1738 b=5.1738 c=5.4821 alpha=90.00 beta=90.00 gamma=90.00
Space group P4/mmm (No. 123)
One atom of each set of equivalent atoms:
Hf 0.0000 0.0000 0.0000 [1 per cell]
Ag 0.0000 0.5000 0.0000 [2 per cell]
Bi 0.0000 0.0000 0.5000 [1 per cell]
Ru 0.5000 0.5000 0.5000 [1 per cell]

DFT formation energy, eV per atom: 1.604

=====

Computed, not measured: a geometry-optimized Ag5Hg12Bi3 structure at the PBE level of DFT.

Unit cell a=17.1048 b=17.1048 c=17.1048 alpha=90.00 beta=90.00 gamma=90.00
Space group Ia-3d (No. 230)
One atom of each set of equivalent atoms:
Ag 0.0000 0.0000 0.0000 [16 per cell]
Ag 0.0000 0.2500 0.3750 [24 per cell]
Hg 0.0214 0.0729 0.6491 [96 per cell]
Bi 0.0000 0.2500 0.1250 [24 per cell]

DFT formation energy, eV per atom: 0.245